Entry 1:
Below is crystalline Pm3Sc2Pb4 at its relaxed geometry, with properties calculated at the GGA-PBE level.

The space group is C2/m (No. 12) and the conventional cell measures 15.987, 5.052 and 6.853 Å, with angles of 90.00, 106.16 and 90.00 degrees. The asymmetric unit holds Pm at (0.000, 0.000, 0.000), Pm at (0.125, 0.000, 0.591), Sc at (0.164, 0.500, 0.063), Pb at (0.007, 0.500, 0.284) and Pb at (0.232, 0.000, 0.244).

The value obtained for the formation energy is -0.451 eV per atom. The uncorrected energy comes out at -91.61 eV per cell. The energy above the most stable polymorph in this dataset is 0 meV per atom. Its size of the total moment is 0.00 μB per formula unit. As for the density: 8.46 g/cm3.


Entry 2:
Below is crystalline Sb4Pd at its relaxed geometry, with properties calculated at the GGA-PBE level.

The space group is Pm-3m (No. 221) and the conventional cell measures 5.239, 5.239 and 5.239 Å, with angles of 90.00, 90.00 and 90.00 degrees. The asymmetric unit holds Sb at (0.000, 0.000, 0.000), Sb at (0.000, 0.500, 0.500) and Pd at (0.500, 0.500, 0.500).

The calculation puts the uncorrected formation energy at 0.34 eV per atom. The uncorrected energy comes out at -19.97 eV per cell. The energy above the most stable polymorph in this dataset is 482 meV per atom. Its size of the total moment is 0.00 μB per formula unit. As for the density: 6.85 g/cm3.


Entry 3:
Below is crystalline Li4Zr3ScS8 at its relaxed geometry, with properties calculated at the GGA-PBE level.

The space group is R-3m (No. 166, hexagonal axes) and the conventional cell measures 7.2709, 7.2709 and 18.6822 Å, with angles of 90.00, 90.00 and 120.00 degrees. The asymmetric unit holds Li at (0.0000, 0.0000, 0.0000), Li at (0.0000, 0.5000, 0.0000), Zr at (0.0000, 0.5000, 0.5000), Sc at (0.0000, 0.0000, 0.5000), S at (0.0000, 0.0000, 0.2507) and S at (0.0018, 0.5009, 0.2495).

The calculation puts the uncorrected formation energy at -1.58 eV per atom. The uncorrected energy comes out at -293.95 eV per cell. Its size of the total moment is 0.00 μB per formula unit. As for the density: 3.51 g/cm3.


Entry 4:
Below is crystalline YEr5Pt4 at its relaxed geometry, with properties calculated at the GGA-PBE level.

The space group is C2/m (No. 12) and the conventional cell measures 18.434, 4.157 and 7.605 Å, with angles of 90.00, 114.23 and 90.00 degrees. The asymmetric unit holds Y at (0.000, 0.000, 0.000), Er at (0.000, 0.000, 0.500), Er at (0.165, 0.500, 0.406), Er at (0.165, 0.500, 0.924), Pt at (0.000, 0.500, 0.258) and Pt at (0.207, 0.000, 0.207).

The value obtained for the formation energy is -1.017 eV per atom. The uncorrected energy comes out at -127.23 eV per cell. Its size of the total moment is 0.00 μB per formula unit. As for the density: 10.66 g/cm3.


Question: Among the records above, which one has the lowest uncorrected energy?
Answer: Li4Zr3ScS8


Question: Look up the size of the total moment of the first one.
Answer: 0.00 μB per formula unit